A.
Computed, not measured: a geometry-optimized Ti2V2Co structure at the PBE level of DFT.

Structure (extended XYZ):
```
10
Lattice="6.029 0.000 0.000 0.000 6.029 0.000 0.000 0.000 4.069" Properties=species:S:1:pos:R:3 pbc="T T T"
Ti 1.004 2.011 0.000
Ti 2.011 5.025 0.000
Ti 4.018 1.004 0.000
Ti 5.025 4.018 0.000
V 0.879 3.893 2.035
V 2.136 0.879 2.035
V 3.893 5.150 2.035
V 5.150 2.136 2.035
Co 0.000 0.000 2.035
Co 3.014 3.014 2.035
```


B.
Computed, not measured: a geometry-optimized Ti2V2Co structure at the PBE level of DFT.

Structure (extended XYZ):
```
5
Lattice="-1.512 1.512 7.609 1.512 -1.512 7.609 1.512 1.512 -7.609" Properties=species:S:1:pos:R:3 pbc="T T T"
Ti 0.000 0.000 1.480
Ti 0.000 0.000 13.739
V 0.000 0.000 4.479
V 0.000 0.000 10.739
Co 0.000 0.000 7.609
```


Pick B: it beats the second-best structure by 0.281 eV/atom.


A.
Computed, not measured: a geometry-optimized Ti2VCo2 structure at the PBE level of DFT.

Structure (extended XYZ):
```
10
Lattice="6.852 0.000 0.000 0.000 6.852 0.000 0.000 0.000 2.893" Properties=species:S:1:pos:R:3 pbc="T T T"
Ti 1.138 2.288 0.000
Ti 2.288 5.714 0.000
Ti 4.563 1.138 0.000
Ti 5.714 4.563 0.000
V 0.000 0.000 1.447
V 3.426 3.426 1.447
Co 0.907 4.333 1.447
Co 2.519 0.907 1.447
Co 4.333 5.944 1.447
Co 5.944 2.519 1.447
```


B.
Computed, not measured: a geometry-optimized Ti2VCo2 structure at the PBE level of DFT.

Structure (extended XYZ):
```
10
Lattice="7.072 0.000 0.000 0.000 7.072 0.000 0.000 0.000 2.711" Properties=species:S:1:pos:R:3 pbc="T T T"
Ti 1.080 2.456 0.000
Ti 2.456 5.992 0.000
Ti 4.616 1.080 0.000
Ti 5.992 4.616 0.000
V 0.000 0.000 0.000
V 3.536 3.536 0.000
Co 1.039 4.575 1.356
Co 2.498 1.039 1.356
Co 4.575 6.034 1.356
Co 6.034 2.498 1.356
```


Pick A: it beats the second-best structure by 0.050 eV/atom.


A.
Computed, not measured: a geometry-optimized TiVCo6 structure at the PBE level of DFT.

Structure (extended XYZ):
```
32
Lattice="3.536 -5.016 0.000 3.536 5.016 0.000 0.000 0.000 10.039" Properties=species:S:1:pos:R:3 pbc="T T T"
Ti 0.000 0.000 2.501
Ti 0.000 0.000 7.539
Ti 3.536 2.524 0.000
Ti 3.536 -2.524 0.000
V 3.536 2.524 5.020
V 3.536 0.000 2.497
V 3.536 0.000 7.542
V 3.536 -2.524 5.020
Co 0.000 0.000 0.000
Co 0.000 0.000 5.020
Co 1.794 1.265 3.789
Co 1.794 1.265 6.250
Co 1.798 1.245 1.280
Co 1.798 1.245 8.759
Co 3.536 2.486 2.554
Co 3.536 2.486 7.485
Co 1.798 -1.245 1.280
Co 1.798 -1.245 8.759
Co 1.794 -1.265 3.789
Co 1.794 -1.265 6.250
Co 3.536 0.000 0.000
Co 3.536 0.000 5.020
Co 5.278 1.265 3.789
Co 5.278 1.265 6.250
Co 5.274 1.245 1.280
Co 5.274 1.245 8.759
Co 3.536 -2.486 2.554
Co 3.536 -2.486 7.485
Co 5.274 -1.245 1.280
Co 5.274 -1.245 8.759
Co 5.278 -1.265 3.789
Co 5.278 -1.265 6.250
```


B.
Computed, not measured: a geometry-optimized TiVCo6 structure at the PBE level of DFT.

Structure (extended XYZ):
```
8
Lattice="3.631 -2.338 0.000 3.631 2.338 0.000 -1.933 0.000 6.123" Properties=species:S:1:pos:R:3 pbc="T T T"
Ti 0.000 0.000 0.000
V 2.665 0.000 3.062
Co 1.762 1.214 1.251
Co 0.159 0.000 2.671
Co 3.568 1.214 4.872
Co 1.762 -1.214 1.251
Co 5.172 0.000 3.452
Co 3.568 -1.214 4.872
```


Pick A: it beats the second-best structure by 0.439 eV/atom.


A.
Computed, not measured: a geometry-optimized TiV2Co6 structure at the PBE level of DFT.

Structure (extended XYZ):
```
9
Lattice="-1.858 2.764 5.849 1.858 -2.764 5.849 1.858 2.764 -5.849" Properties=species:S:1:pos:R:3 pbc="T T T"
Ti 0.000 0.000 0.000
V 0.000 0.000 3.895
V 0.000 0.000 7.803
Co 1.858 -1.393 3.866
Co 1.858 1.484 0.000
Co 0.000 1.371 1.983
Co 1.858 1.393 3.866
Co 0.000 1.281 5.849
Co 0.000 4.158 1.983
```


B.
Computed, not measured: a geometry-optimized TiV2Co6 structure at the PBE level of DFT.

Structure (extended XYZ):
```
9
Lattice="4.906 0.000 0.000 -2.453 4.249 0.000 0.000 0.000 5.298" Properties=species:S:1:pos:R:3 pbc="T T T"
Ti 0.000 0.000 0.000
V 0.000 2.833 4.484
V 2.453 1.416 0.814
Co 0.000 1.517 1.746
Co -1.140 3.491 1.746
Co 1.313 0.758 3.553
Co 1.140 3.491 1.746
Co 3.593 0.758 3.553
Co 2.453 2.732 3.553
```


Pick B: it beats the second-best structure by 0.273 eV/atom.


A.
Computed, not measured: a geometry-optimized TiCoW2 structure at the PBE level of DFT.

Structure (extended XYZ):
```
4
Lattice="0.000 3.080 3.080 3.080 0.000 3.080 3.080 3.080 0.000" Properties=species:S:1:pos:R:3 pbc="T T T"
Ti 0.000 0.000 0.000
Co 3.080 3.080 3.080
W 1.540 1.540 1.540
W 4.621 4.621 4.621
```


B.
Computed, not measured: a geometry-optimized TiCoW2 structure at the PBE level of DFT.

Structure (extended XYZ):
```
8
Lattice="-3.549 3.549 2.519 3.549 -3.549 2.519 3.549 3.549 -2.519" Properties=species:S:1:pos:R:3 pbc="T T T"
Ti 0.000 0.000 0.000
Ti 0.000 3.549 1.259
Co 3.549 0.000 1.259
Co 0.000 0.000 2.519
W 1.775 -1.517 1.889
W 2.032 1.775 0.630
W 1.775 5.067 -0.630
W 1.517 1.775 3.148
```


Pick A: it beats the second-best structure by 0.333 eV/atom.


A.
Computed, not measured: a geometry-optimized TiCoW3 structure at the PBE level of DFT.

Structure (extended XYZ):
```
5
Lattice="4.512 0.000 0.000 0.000 4.512 0.000 0.000 0.000 4.512" Properties=species:S:1:pos:R:3 pbc="T T T"
Ti 0.000 0.000 0.000
Co 2.256 2.256 2.256
W 0.000 0.000 2.256
W 0.000 2.256 0.000
W 2.256 0.000 0.000
```


B.
Computed, not measured: a geometry-optimized TiCoW3 structure at the PBE level of DFT.

Structure (extended XYZ):
```
5
Lattice="4.466 0.000 0.000 0.000 4.466 0.000 0.000 0.000 4.466" Properties=species:S:1:pos:R:3 pbc="T T T"
Ti 0.000 0.000 0.000
Co 2.233 2.233 2.233
W 0.000 2.233 2.233
W 2.233 0.000 2.233
W 2.233 2.233 0.000
```


Pick B: it beats the second-best structure by 0.964 eV/atom.


A.
Computed, not measured: a geometry-optimized Ti2Co2W structure at the PBE level of DFT.

Structure (extended XYZ):
```
10
Lattice="6.942 0.000 0.000 0.000 6.942 0.000 0.000 0.000 2.870" Properties=species:S:1:pos:R:3 pbc="T T T"
Ti 1.143 2.328 0.000
Ti 2.328 5.800 0.000
Ti 4.614 1.143 0.000
Ti 5.800 4.614 0.000
Co 0.907 4.379 1.435
Co 2.564 0.907 1.435
Co 4.379 6.035 1.435
Co 6.035 2.564 1.435
W 0.000 0.000 1.435
W 3.471 3.471 1.435
```


B.
Computed, not measured: a geometry-optimized Ti2Co2W structure at the PBE level of DFT.

Structure (extended XYZ):
```
10
Lattice="7.087 0.000 0.000 0.000 7.087 0.000 0.000 0.000 2.741" Properties=species:S:1:pos:R:3 pbc="T T T"
Ti 1.078 2.466 0.000
Ti 2.466 6.009 0.000
Ti 4.621 1.078 0.000
Ti 6.009 4.621 0.000
Co 1.049 4.592 1.371
Co 2.495 1.049 1.371
Co 4.592 6.038 1.371
Co 6.038 2.495 1.371
W 0.000 0.000 0.000
W 3.543 3.543 0.000
```


Pick A: it beats the second-best structure by 0.076 eV/atom.


A.
Computed, not measured: a geometry-optimized YTiCo structure at the PBE level of DFT.

Structure (extended XYZ):
```
3
Lattice="-1.597 1.597 5.561 1.597 -1.597 5.561 1.597 1.597 -5.561" Properties=species:S:1:pos:R:3 pbc="T T T"
Y 0.000 0.000 0.000
Ti 0.000 0.000 3.071
Co 0.000 0.000 7.709
```


B.
Computed, not measured: a geometry-optimized YTiCo structure at the PBE level of DFT.

Structure (extended XYZ):
```
6
Lattice="4.264 0.000 0.000 0.000 4.264 0.000 0.000 0.000 6.318" Properties=species:S:1:pos:R:3 pbc="T T T"
Y 1.066 1.066 0.859
Y 3.198 3.198 5.459
Ti 1.066 3.198 3.159
Ti 3.198 1.066 3.159
Co 1.066 1.066 4.364
Co 3.198 3.198 1.954
```


Pick B: it beats the second-best structure by 0.175 eV/atom.


A.
Computed, not measured: a geometry-optimized YTi2Co structure at the PBE level of DFT.

Structure (extended XYZ):
```
4
Lattice="0.000 3.243 3.243 3.243 0.000 3.243 3.243 3.243 0.000" Properties=species:S:1:pos:R:3 pbc="T T T"
Y 0.000 0.000 0.000
Ti 1.621 1.621 1.621
Ti 4.864 4.864 4.864
Co 3.243 3.243 3.243
```


B.
Computed, not measured: a geometry-optimized YTi2Co structure at the PBE level of DFT.

Structure (extended XYZ):
```
8
Lattice="-2.279 2.279 8.536 2.279 -2.279 8.536 2.279 2.279 -8.536" Properties=species:S:1:pos:R:3 pbc="T T T"
Y 2.279 1.140 2.134
Y 0.000 1.140 6.402
Ti 0.000 0.000 0.000
Ti 1.140 1.140 -4.268
Ti 1.140 -1.140 4.268
Ti 0.000 2.279 0.000
Co 2.279 -1.140 6.402
Co 0.000 3.419 2.134
```


Pick A: it beats the second-best structure by 0.338 eV/atom.


A.
Computed, not measured: a geometry-optimized YTi3Co structure at the PBE level of DFT.

Structure (extended XYZ):
```
5
Lattice="4.697 0.000 0.000 0.000 4.697 0.000 0.000 0.000 4.697" Properties=species:S:1:pos:R:3 pbc="T T T"
Y 0.000 0.000 0.000
Ti 0.000 0.000 2.348
Ti 0.000 2.348 0.000
Ti 2.348 0.000 0.000
Co 2.348 2.348 2.348
```


B.
Computed, not measured: a geometry-optimized YTi3Co structure at the PBE level of DFT.

Structure (extended XYZ):
```
5
Lattice="4.626 0.000 0.000 0.000 4.626 0.000 0.000 0.000 4.626" Properties=species:S:1:pos:R:3 pbc="T T T"
Y 0.000 0.000 0.000
Ti 0.000 2.313 2.313
Ti 2.313 0.000 2.313
Ti 2.313 2.313 0.000
Co 2.313 2.313 2.313
```


Pick B: it beats the second-best structure by 1.750 eV/atom.


A.
Computed, not measured: a geometry-optimized TiZn2Co2 structure at the PBE level of DFT.

Structure (extended XYZ):
```
10
Lattice="6.673 0.000 0.000 0.000 6.673 0.000 0.000 0.000 2.938" Properties=species:S:1:pos:R:3 pbc="T T T"
Ti 0.000 0.000 0.000
Ti 3.337 3.337 0.000
Zn 1.054 2.282 1.469
Zn 2.282 5.619 1.469
Zn 4.391 1.054 1.469
Zn 5.619 4.391 1.469
Co 0.928 4.265 0.000
Co 2.409 0.928 0.000
Co 4.265 5.745 0.000
Co 5.745 2.409 0.000
```


B.
Computed, not measured: a geometry-optimized TiZn2Co2 structure at the PBE level of DFT.

Structure (extended XYZ):
```
5
Lattice="-1.684 1.684 6.111 1.684 -1.684 6.111 1.684 1.684 -6.111" Properties=species:S:1:pos:R:3 pbc="T T T"
Ti 0.000 0.000 0.000
Zn 1.684 0.000 3.055
Zn 0.000 1.684 3.055
Co 0.000 0.000 4.955
Co 0.000 0.000 7.266
```


C.
Computed, not measured: a geometry-optimized TiZn2Co2 structure at the PBE level of DFT.

Structure (extended XYZ):
```
5
Lattice="-1.739 1.739 5.808 1.739 -1.739 5.808 1.739 1.739 -5.808" Properties=species:S:1:pos:R:3 pbc="T T T"
Ti 0.000 0.000 0.000
Zn 0.000 0.000 4.609
Zn 0.000 0.000 7.008
Co 1.739 0.000 2.904
Co 0.000 1.739 2.904
```


Pick A: it beats the second-best structure by 0.150 eV/atom.


A.
Computed, not measured: a geometry-optimized Ti4ZnCo structure at the PBE level of DFT.

Structure (extended XYZ):
```
6
Lattice="2.979 0.000 0.000 0.000 2.979 0.000 0.000 0.000 10.358" Properties=species:S:1:pos:R:3 pbc="T T T"
Ti 0.000 0.000 1.505
Ti 0.000 0.000 8.853
Ti 1.489 1.489 3.360
Ti 1.489 1.489 6.998
Zn 0.000 0.000 5.179
Co 1.489 1.489 0.000
```


B.
Computed, not measured: a geometry-optimized Ti4ZnCo structure at the PBE level of DFT.

Structure (extended XYZ):
```
6
Lattice="2.912 -2.912 0.000 2.912 2.912 0.000 -0.012 0.000 6.153" Properties=species:S:1:pos:R:3 pbc="T T T"
Ti 4.362 -1.456 1.418
Ti 1.449 1.456 4.735
Ti 4.362 1.456 1.418
Ti 1.449 -1.456 4.735
Zn -0.006 0.000 3.076
Co 2.912 0.000 0.000
```


Pick A: it beats the second-best structure by 0.385 eV/atom.